(1)
VASP calculation (PBE-GGA) on an optimized crystal structure of Nd4NpN5.

a b c (Å): 8.0260 8.0260 5.1020
angles (deg): 90.00 90.00 90.00
Space group I4/m (No. 87)
Symmetry-distinct sites (fractional):
Nd: 0.0999 0.7012 0.0000 [8 per cell]
Np: 0.0000 0.0000 0.5000 [2 per cell]
N: 0.0000 0.0000 0.0000 [2 per cell]
N: 0.0907 0.7295 0.5000 [8 per cell]

Values from the calculation:
**Calculated volume**: 16.433 A^3/atom
**Raw total energy**: -8.71 eV/atom
**Mass density**: 8.93 g cm⁻³
**Formation energy (no corrections)**: -1.342 eV per atom



(2)
VASP calculation (PBE-GGA) on an optimized crystal structure of YMo4.

a b c (Å): 7.4117 7.4117 3.2321
angles (deg): 90.00 90.00 90.00
Space group I4/m (No. 87)
Symmetry-distinct sites (fractional):
Y: 0.0000 0.0000 0.0000 [2 per cell]
Mo: 0.1052 0.3189 0.5000 [8 per cell]

Values from the calculation:
**Calculated volume**: 17.755 A^3/atom
**Energy relative to the lowest polymorph listed for this composition**: 0.00 eV/f.u.
**Raw total energy**: -9.71 eV/atom
**Mass density**: 8.84 g cm⁻³



(3)
VASP calculation (PBE-GGA) on an optimized crystal structure of Cs2AgHgBr6.

a b c (Å): 8.0194 8.0194 11.4037
angles (deg): 90.00 90.00 90.00
Space group I4/mmm (No. 139)
Symmetry-distinct sites (fractional):
Cs: 0.0000 0.5000 0.2500 [4 per cell]
Ag: 0.0000 0.0000 0.0000 [2 per cell]
Hg: 0.0000 0.0000 0.5000 [2 per cell]
Br: 0.0000 0.0000 0.2751 [4 per cell]
Br: 0.2320 0.2320 0.0000 [8 per cell]

Values from the calculation:
**Calculated volume**: 36.669 A^3/atom
**Raw total energy**: -2.43 eV/atom
**Mass density**: 4.77 g cm⁻³
**Formation energy (no corrections)**: -0.944 eV per atom



(4)
VASP calculation (PBE-GGA) on an optimized crystal structure of ZrNiCl2.

a b c (Å): 3.2681 3.2681 6.0327
angles (deg): 90.00 90.00 90.00
Space group P4/mmm (No. 123)
Symmetry-distinct sites (fractional):
Zr: 0.0000 0.0000 0.0000 [1 per cell]
Ni: 0.0000 0.0000 0.5000 [1 per cell]
Cl: 0.5000 0.5000 0.2448 [2 per cell]

Values from the calculation:
**Calculated volume**: 16.108 A^3/atom
**Energy relative to the lowest polymorph listed for this composition**: 2.58 eV/f.u.
**Raw total energy**: -4.78 eV/atom
**Mass density**: 5.69 g cm⁻³
**Formation energy (no corrections)**: -0.279 eV per atom